LiY2HgC | PBE-GGA | relaxed

Values from the calculation:
V = 20.7 Å³ per atom
E above lowest polymorph = 0 meV/atom
Calculated formation energy = -0.226 eV per atom

Cell lengths 4.9350, 4.9350, 4.2556 Å; angles 90.00, 90.00, 90.00 degrees
Fractional coordinates of all 5 atoms:
Y  0.5000  0.0000  0.0000
Y  0.0000  0.5000  0.0000
Li  0.0000  0.0000  0.5000
Hg  0.5000  0.5000  0.5000
C  0.0000  0.0000  0.0000